A geometry-optimized ZnPb2 structure. Source: Alexandria, functional PBE.

Unit cell a=3.514 b=3.514 c=7.615 alpha=90.00 beta=90.00 gamma=120.00
Positions (direct):
Zn  0.000  0.000  0.000
Pb  0.667  0.333  0.693
Pb  0.333  0.667  0.307

offset from the most stable computed form	1.14	kcal/mol of atoms
raw total energy	-2.7616	eV per atom
spin magnetization	0.0	μB per cell

---

A geometry-optimized Zn4Pb3 structure. Source: Alexandria, functional PBE.

Unit cell a=14.079 b=14.079 c=14.079 alpha=166.09 beta=166.09 gamma=19.72
Positions (direct):
Pb  0.000  0.000  0.000
Zn  0.877  0.877  0.000
Zn  0.123  0.123  0.000
Pb  0.301  0.301  0.000
Zn  0.580  0.580  0.000
Zn  0.420  0.420  0.000
Pb  0.699  0.699  0.000

offset from the most stable computed form	0.00	kcal/mol of atoms
raw total energy	-2.1865	eV per atom
spin magnetization	0.0	μB per cell

---

A geometry-optimized ZnPb structure. Source: Alexandria, functional PBE.

Unit cell a=5.877 b=5.877 c=5.877 alpha=90.00 beta=90.00 gamma=90.00
Positions (direct):
Zn  0.000  0.500  0.500
Pb  0.000  0.500  0.000
Pb  0.500  0.000  0.000
Zn  0.500  0.500  0.000
Pb  0.000  0.000  0.500
Zn  0.000  0.000  0.000
Pb  0.500  0.500  0.500
Zn  0.500  0.000  0.500

raw total energy	-2.2779	eV per atom
spin magnetization	0.0	μB per cell

---

A geometry-optimized ZnPb structure. Source: Alexandria, functional PBE.

Unit cell a=5.225 b=5.225 c=5.225 alpha=60.00 beta=60.00 gamma=60.00
Positions (direct):
Zn  0.500  0.500  0.500
Pb  0.250  0.250  0.250
Zn  0.750  0.750  0.750
Pb  0.000  0.000  0.000

raw total energy	-2.2817	eV per atom
spin magnetization	0.0	μB per cell

---

A geometry-optimized ZnPb3 structure. Source: Alexandria, functional PBE.

Unit cell a=5.953 b=5.953 c=5.953 alpha=132.11 beta=132.11 gamma=70.06
Positions (direct):
Pb  0.500  0.500  0.000
Zn  0.000  0.000  0.000
Pb  0.250  0.750  0.500
Pb  0.750  0.250  0.500

raw total energy	-2.9755	eV per atom
spin magnetization	0.0	μB per cell

---

A geometry-optimized ZnPb structure. Source: Alexandria, functional PBE.

Unit cell a=3.488 b=5.594 c=5.870 alpha=97.06 beta=106.56 gamma=111.00
Positions (direct):
Pb  0.236  0.318  0.685
Zn  0.900  0.184  0.111
Pb  0.764  0.682  0.315
Zn  0.100  0.816  0.889

raw total energy	-2.3583	eV per atom
spin magnetization	0.0	μB per cell

---

A geometry-optimized Zn3Pb structure. Source: Alexandria, functional PBE.

Unit cell a=3.294 b=3.294 c=7.375 alpha=90.00 beta=90.00 gamma=89.94
Positions (direct):
Pb  0.000  0.000  0.000
Zn  0.500  0.500  0.696
Zn  0.500  0.500  0.304
Zn  0.000  0.000  0.500

raw total energy	-1.7313	eV per atom
spin magnetization	0.0	μB per cell

---

A geometry-optimized ZnPb structure. Source: Alexandria, functional PBE.

Unit cell a=5.698 b=6.337 c=3.459 alpha=74.16 beta=72.33 gamma=55.57
Positions (direct):
Pb  0.082  0.966  0.976
Zn  0.410  0.155  0.218
Pb  0.834  0.618  0.774
Zn  0.507  0.428  0.532

raw total energy	-2.3529	eV per atom
spin magnetization	0.0	μB per cell